No. 1
Here is a crystal of Hf2TlTe2 relaxed with PBEsol from Alexandria. Energies are from meta-GGA SCAN.

formation energy (no corrections): -309 meV per atom

Lattice parameters (Å, degrees): 4.238 4.238 8.202 104.97 104.97 90.00
Fractional positions:
Te  0.620  0.620  0.241
Tl  0.000  0.000  0.000
Hf  0.750  0.250  0.500
Hf  0.250  0.750  0.500
Te  0.380  0.380  0.759

No. 2
Here is a crystal of InGaCoNi2 relaxed with PBEsol from Alexandria. Energies are from meta-GGA SCAN.

energy of formation from the pure elements: 7.7 eV/f.u.

Lattice parameters (Å, degrees): 4.572 4.572 4.790 90.00 90.00 90.00
Fractional positions:
Ga  0.000  0.000  0.500
Co  0.500  0.500  0.500
Ni  0.500  0.000  0.000
In  0.000  0.000  0.000
Ni  0.000  0.500  0.000

No. 3
Here is a crystal of CaMnCo3 relaxed with PBEsol from Alexandria. Energies are from meta-GGA SCAN.

energy of formation from the pure elements: 3.9 eV/f.u.

Lattice parameters (Å, degrees): 4.204 4.204 4.204 90.00 90.00 90.00
Fractional positions:
Co  0.000  0.000  0.500
Ca  0.500  0.500  0.500
Co  0.500  0.000  0.000
Co  0.000  0.500  0.000
Mn  0.000  0.000  0.000

No. 4
Here is a crystal of BeRh2Pb relaxed with PBEsol from Alexandria. Energies are from meta-GGA SCAN.

energy of formation from the pure elements: -0.2 eV/f.u.
E above lowest polymorph: 70 meV per atom

Lattice parameters (Å, degrees): 3.035 3.745 5.814 108.79 105.13 90.00
Fractional positions:
Be  0.471  0.471  0.943
Rh  0.812  0.312  0.625
Rh  0.015  0.015  0.030
Pb  0.201  0.701  0.402

| no. | VASP energy (eV per cell) | calculated density (kg/m³) |
| --- | --- | --- |
| 1 | -273.8 | 9890 |
| 2 | -91.7 | 5983 |
| 3 | -76.0 | 6073 |
| 4 | -147.9 | 11652 |